DFT (GGA-PBE) results for crystalline RbSOF2 at its relaxed geometry. Values from VASP.

Computed properties:
* volume: 15.28 A^3/atom
* calculated density: 3.7 g/cm³
* uncorrected energy: -4.08 eV/atom
* magnetic moment: 0.000 μB/f.u.
* polymorph energy (0 for the lowest one): 0.0 meV per atom

Geometry as Quantum ESPRESSO input:
```
&SYSTEM
  ibrav = 0, nat = 5, ntyp = 4
/
ATOMIC_SPECIES
Rb 85.47 Rb.upf
S 32.06 S.upf
O 16.00 O.upf
F 19.00 F.upf
CELL_PARAMETERS angstrom
4.660 0.000 0.000
0.000 4.660 0.000
0.000 0.000 3.518
ATOMIC_POSITIONS crystal
Rb 0.000 0.000 0.000
S 0.500 0.500 0.500
O 0.500 0.500 0.000
F 0.000 0.500 0.500
F 0.500 0.000 0.500
```

---

DFT (GGA-PBE) results for crystalline RbSO2F at its relaxed geometry. Values from VASP.

Computed properties:
* volume: 20.68 A^3/atom
* calculated density: 2.7 g/cm³
* uncorrected energy: -5.20 eV/atom
* magnetic moment: 0.000 μB/f.u.

Geometry as Quantum ESPRESSO input:
```
&SYSTEM
  ibrav = 0, nat = 10, ntyp = 4
/
ATOMIC_SPECIES
Rb 85.47 Rb.upf
S 32.06 S.upf
O 16.00 O.upf
F 19.00 F.upf
CELL_PARAMETERS angstrom
4.871 0.000 0.000
0.000 6.029 0.000
-2.269 0.000 7.041
ATOMIC_POSITIONS crystal
Rb 0.154 0.250 0.285
Rb 0.846 0.750 0.715
S 0.402 0.250 0.815
S 0.598 0.750 0.185
O 0.338 0.047 0.698
O 0.338 0.453 0.698
O 0.662 0.547 0.302
O 0.662 0.953 0.302
F 0.204 0.750 0.123
F 0.796 0.250 0.877
```

---

DFT (GGA-PBE) results for crystalline RbSOF2 at its relaxed geometry. Values from VASP.

Computed properties:
* volume: 23.51 A^3/atom
* calculated density: 2.4 g/cm³
* uncorrected energy: -2.58 eV/atom
* magnetic moment: 5.000 μB/f.u.
* polymorph energy (0 for the lowest one): 1504.9 meV per atom

Geometry as Quantum ESPRESSO input:
```
&SYSTEM
  ibrav = 0, nat = 5, ntyp = 4
/
ATOMIC_SPECIES
Rb 85.47 Rb.upf
S 32.06 S.upf
O 16.00 O.upf
F 19.00 F.upf
CELL_PARAMETERS angstrom
4.873 0.000 0.000
0.000 4.873 0.000
0.000 0.000 4.950
ATOMIC_POSITIONS crystal
Rb 0.000 0.000 0.000
S 0.500 0.500 0.500
O 0.000 0.000 0.500
F 0.000 0.500 0.000
F 0.500 0.000 0.000
```

---

DFT (GGA-PBE) results for crystalline Rb2Sb2OF10 at its relaxed geometry. Values from VASP.

Computed properties:
* volume: 18.22 A^3/atom
* calculated density: 3.8 g/cm³
* uncorrected energy: -4.76 eV/atom
* magnetic moment: 0.068 μB/f.u.

Geometry as Quantum ESPRESSO input:
```
&SYSTEM
  ibrav = 0, nat = 60, ntyp = 4
/
ATOMIC_SPECIES
Rb 85.47 Rb.upf
Sb 121.76 Sb.upf
O 16.00 O.upf
F 19.00 F.upf
CELL_PARAMETERS angstrom
8.254 0.000 0.000
0.000 15.610 0.000
-7.274 0.000 8.484
ATOMIC_POSITIONS crystal
Rb 0.031 0.043 0.325
Rb 0.031 0.457 0.825
Rb 0.286 0.186 0.024
Rb 0.286 0.314 0.524
Rb 0.714 0.686 0.476
Rb 0.714 0.814 0.976
Rb 0.969 0.543 0.175
Rb 0.969 0.957 0.675
Sb 0.168 0.745 0.958
Sb 0.168 0.755 0.458
Sb 0.437 0.571 0.700
Sb 0.437 0.929 0.200
Sb 0.563 0.071 0.800
Sb 0.563 0.429 0.300
Sb 0.832 0.245 0.542
Sb 0.832 0.255 0.042
O 0.204 0.653 0.575
O 0.204 0.847 0.075
O 0.796 0.153 0.925
O 0.796 0.347 0.425
F 0.021 0.690 0.020
F 0.021 0.810 0.520
F 0.103 0.208 0.225
F 0.103 0.292 0.725
F 0.103 0.645 0.832
F 0.103 0.855 0.332
F 0.275 0.504 0.735
F 0.275 0.996 0.235
F 0.292 0.703 0.377
F 0.292 0.797 0.877
F 0.317 0.000 0.016
F 0.317 0.500 0.516
F 0.334 0.512 0.175
F 0.334 0.988 0.675
F 0.380 0.127 0.826
F 0.380 0.373 0.326
F 0.427 0.132 0.605
F 0.427 0.368 0.105
F 0.434 0.694 0.132
F 0.434 0.806 0.632
F 0.566 0.194 0.368
F 0.566 0.306 0.868
F 0.573 0.632 0.895
F 0.573 0.868 0.395
F 0.620 0.627 0.674
F 0.620 0.873 0.174
F 0.666 0.012 0.325
F 0.666 0.488 0.825
F 0.683 0.000 0.984
F 0.683 0.500 0.484
F 0.708 0.203 0.123
F 0.708 0.297 0.623
F 0.725 0.004 0.765
F 0.725 0.496 0.265
F 0.897 0.145 0.668
F 0.897 0.355 0.168
F 0.897 0.708 0.275
F 0.897 0.792 0.775
F 0.979 0.190 0.480
F 0.979 0.310 0.980
```

---

- Which value of calculated density does entry 4 give?
  3.8 g/cm³